[1]
# MgBe2P (SCAN, PBEsol geometry)
data_MgBe2P
_symmetry_space_group_name_H-M 'I 4/m m m'
_symmetry_Int_Tables_number 139
_symmetry_space_group_name_Hall '-I 4 2'
_cell_length_a 3.573
_cell_length_b 3.573
_cell_length_c 7.951
_cell_angle_alpha 90.00
_cell_angle_beta 90.00
_cell_angle_gamma 90.00
loop_
_atom_site_label
_atom_site_type_symbol
_atom_site_fract_x
_atom_site_fract_y
_atom_site_fract_z
Mg1 Mg 0.000 0.000 0.000
Be1 Be 0.000 0.500 0.250
P1 P 0.000 0.000 0.500
# E above lowest polymorph: 0.0 meV per atom
# DFT total energy: -5.713 eV per atom
# N(E_F): 1.08 states/eV/f.u.
# formation energy from the elements: 0.3072 eV per atom

[2]
# CuNiAgP2 (SCAN, PBEsol geometry)
data_CuNiAgP2
_symmetry_space_group_name_H-M 'P 4/m m m'
_symmetry_Int_Tables_number 123
_symmetry_space_group_name_Hall '-P 4 2'
_cell_length_a 4.299
_cell_length_b 4.299
_cell_length_c 4.392
_cell_angle_alpha 90.00
_cell_angle_beta 90.00
_cell_angle_gamma 90.00
loop_
_atom_site_label
_atom_site_type_symbol
_atom_site_fract_x
_atom_site_fract_y
_atom_site_fract_z
Cu1 Cu 0.000 0.000 0.000
Ni1 Ni 0.000 0.000 0.500
Ag1 Ag 0.500 0.500 0.500
P1 P 0.000 0.500 0.000
# DFT total energy: -15.837 eV per atom
# N(E_F): 2.02 states/eV/f.u.
# formation energy from the elements: 0.8708 eV per atom

[3]
# K3PtF (SCAN, PBEsol geometry)
data_K3PtF
_symmetry_space_group_name_H-M 'P m -3 m'
_symmetry_Int_Tables_number 221
_symmetry_space_group_name_Hall '-P 4 2 3'
_cell_length_a 5.044
_cell_length_b 5.044
_cell_length_c 5.044
_cell_angle_alpha 90.00
_cell_angle_beta 90.00
_cell_angle_gamma 90.00
loop_
_atom_site_label
_atom_site_type_symbol
_atom_site_fract_x
_atom_site_fract_y
_atom_site_fract_z
K1 K 0.000 0.000 0.500
Pt1 Pt 0.500 0.500 0.500
F1 F 0.000 0.000 0.000
# formation energy (no corrections): -1.1930 eV/atom
# DFT total energy: -20.937 eV per atom

[4]
# PrIn2Cu9 (SCAN, PBEsol geometry)
data_PrIn2Cu9
_symmetry_space_group_name_H-M 'P 4/m b m'
_symmetry_Int_Tables_number 127
_symmetry_space_group_name_Hall '-P 4 2ab'
_cell_length_a 8.378
_cell_length_b 8.378
_cell_length_c 4.934
_cell_angle_alpha 90.00
_cell_angle_beta 90.00
_cell_angle_gamma 90.00
loop_
_atom_site_label
_atom_site_type_symbol
_atom_site_fract_x
_atom_site_fract_y
_atom_site_fract_z
Pr1 Pr 0.000 0.000 0.000
In1 In 0.123 0.377 0.000
Cu1 Cu 0.000 0.500 0.500
Cu2 Cu 0.065 0.207 0.500
Cu3 Cu 0.176 0.676 0.248
# DFT total energy: -20.727 eV per atom
# N(E_F): 5.23 states/eV/f.u.
# formation energy from the elements: -0.1523 eV per atom

[5]
# Hg2PbCl (SCAN, PBEsol geometry)
data_Hg2PbCl
_symmetry_space_group_name_H-M 'P 1 m 1'
_symmetry_Int_Tables_number 6
_symmetry_space_group_name_Hall 'P -2y'
_cell_length_a 3.437
_cell_length_b 4.904
_cell_length_c 6.222
_cell_angle_alpha 90.00
_cell_angle_beta 104.74
_cell_angle_gamma 90.00
loop_
_atom_site_label
_atom_site_type_symbol
_atom_site_fract_x
_atom_site_fract_y
_atom_site_fract_z
Hg1 Hg 0.000 0.000 0.000
Hg2 Hg 0.474 0.500 0.949
Pb1 Pb 0.258 0.500 0.441
Cl1 Cl 0.756 0.000 0.488
# E above lowest polymorph: 0.0 meV per atom
# formation energy (no corrections): -0.3287 eV/atom
# DFT total energy: -55.351 eV per atom
# N(E_F): 0.94 states/eV/f.u.

[6]
# YIr3Pb (SCAN, PBEsol geometry)
data_YIr3Pb
_symmetry_space_group_name_H-M 'P m -3 m'
_symmetry_Int_Tables_number 221
_symmetry_space_group_name_Hall '-P 4 2 3'
_cell_length_a 4.906
_cell_length_b 4.906
_cell_length_c 4.906
_cell_angle_alpha 90.00
_cell_angle_beta 90.00
_cell_angle_gamma 90.00
loop_
_atom_site_label
_atom_site_type_symbol
_atom_site_fract_x
_atom_site_fract_y
_atom_site_fract_z
Y1 Y 0.000 0.000 0.000
Ir1 Ir 0.000 0.000 0.500
Pb1 Pb 0.500 0.500 0.500
# DFT total energy: -61.516 eV per atom
# N(E_F): 5.16 states/eV/f.u.
# formation energy from the elements: 1.8687 eV per atom

[7]
# HgMo2Ir (SCAN, PBEsol geometry)
data_HgMo2Ir
_symmetry_space_group_name_H-M 'C m m m'
_symmetry_Int_Tables_number 65
_symmetry_space_group_name_Hall '-C 2 2'
_cell_length_a 5.436
_cell_length_b 8.282
_cell_length_c 2.783
_cell_angle_alpha 90.00
_cell_angle_beta 90.00
_cell_angle_gamma 90.00
loop_
_atom_site_label
_atom_site_type_symbol
_atom_site_fract_x
_atom_site_fract_y
_atom_site_fract_z
Hg1 Hg 0.000 0.000 0.000
Mo1 Mo 0.250 0.250 0.500
Ir1 Ir 0.000 0.500 0.000
# DFT total energy: -51.975 eV per atom
# N(E_F): 2.75 states/eV/f.u.
# formation energy from the elements: 0.2834 eV per atom

[8]
# TlCd3 (SCAN, PBEsol geometry)
data_TlCd3
_symmetry_space_group_name_H-M 'P m m n'
_symmetry_Int_Tables_number 59
_cell_length_a 4.746
_cell_length_b 6.036
_cell_length_c 6.575
_cell_angle_alpha 90.00
_cell_angle_beta 90.00
_cell_angle_gamma 90.00
loop_
_symmetry_equiv_pos_as_xyz
'x,y,z'
'-x,-y,-z'
'-x+1/2,-y+1/2,z'
'x+1/2,y+1/2,-z'
'x+1/2,-y,-z'
'-x+1/2,y,z'
'-x,y+1/2,-z'
'x,-y+1/2,z'
loop_
_atom_site_label
_atom_site_type_symbol
_atom_site_fract_x
_atom_site_fract_y
_atom_site_fract_z
Tl1 Tl 0.250 0.250 0.097
Cd1 Cd 0.250 0.507 0.644
Cd2 Cd 0.250 0.750 0.238
# DFT total energy: -40.847 eV per atom
# N(E_F): 1.31 states/eV/f.u.
# formation energy from the elements: 0.0530 eV per atom

[9]
# TbAl3C3 (SCAN, PBEsol geometry)
data_TbAl3C3
_symmetry_space_group_name_H-M 'P 63/m m c'
_symmetry_Int_Tables_number 194
_symmetry_space_group_name_Hall '-P 6c 2c'
_cell_length_a 3.4214
_cell_length_b 3.4214
_cell_length_c 17.2298
_cell_angle_alpha 90.00
_cell_angle_beta 90.00
_cell_angle_gamma 120.00
loop_
_atom_site_label
_atom_site_type_symbol
_atom_site_fract_x
_atom_site_fract_y
_atom_site_fract_z
Tb1 Tb 0.0000 0.0000 0.0000
Al1 Al 0.3333 0.6667 0.1336
Al2 Al 0.3333 0.6667 0.7500
C1 C 0.3333 0.6667 0.2500
C2 C 0.3333 0.6667 0.5931
# DFT total energy: -14.754 eV per atom
# N(E_F): 0.07 states/eV/f.u.
# formation energy from the elements: -0.4234 eV per atom

[10]
# CuRh3 (SCAN, PBEsol geometry)
data_CuRh3
_symmetry_space_group_name_H-M 'P 63/m m c'
_symmetry_Int_Tables_number 194
_symmetry_space_group_name_Hall '-P 6c 2c'
_cell_length_a 5.2995
_cell_length_b 5.2995
_cell_length_c 4.3091
_cell_angle_alpha 90.00
_cell_angle_beta 90.00
_cell_angle_gamma 120.00
loop_
_atom_site_label
_atom_site_type_symbol
_atom_site_fract_x
_atom_site_fract_y
_atom_site_fract_z
Cu1 Cu 0.3333 0.6667 0.2500
Rh1 Rh 0.1696 0.3391 0.7500
# DFT total energy: -29.029 eV per atom
# N(E_F): 5.15 states/eV/f.u.
# formation energy from the elements: 0.0999 eV per atom

[11]
# CaMoCN2 (SCAN, PBEsol geometry)
data_CaMoCN2
_symmetry_space_group_name_H-M 'P 4/m m m'
_symmetry_Int_Tables_number 123
_symmetry_space_group_name_Hall '-P 4 2'
_cell_length_a 3.952
_cell_length_b 3.952
_cell_length_c 4.040
_cell_angle_alpha 90.00
_cell_angle_beta 90.00
_cell_angle_gamma 90.00
loop_
_atom_site_label
_atom_site_type_symbol
_atom_site_fract_x
_atom_site_fract_y
_atom_site_fract_z
Ca1 Ca 0.000 0.000 0.000
Mo1 Mo 0.500 0.500 0.500
C1 C 0.500 0.500 0.000
N1 N 0.000 0.500 0.500
# formation energy (no corrections): 0.0810 eV/atom
# DFT total energy: -14.565 eV per atom
# N(E_F): 2.61 states/eV/f.u.

[12]
# HgBi2F (SCAN, PBEsol geometry)
data_HgBi2F
_symmetry_space_group_name_H-M 'I -4 2 d'
_symmetry_Int_Tables_number 122
_symmetry_space_group_name_Hall 'I -4 2bw'
_cell_length_a 4.927
_cell_length_b 4.927
_cell_length_c 17.603
_cell_angle_alpha 90.00
_cell_angle_beta 90.00
_cell_angle_gamma 90.00
loop_
_atom_site_label
_atom_site_type_symbol
_atom_site_fract_x
_atom_site_fract_y
_atom_site_fract_z
Hg1 Hg 0.000 0.000 0.000
Bi1 Bi 0.182 0.250 0.625
F1 F 0.000 0.000 0.500
# formation energy (no corrections): -0.4367 eV/atom
# DFT total energy: -57.653 eV per atom
# N(E_F): 2.22 states/eV/f.u.